# 1
# PBE-GGA Rb2GaHgOs, optimized geometry
# Formation energy from the elements   6.71 eV per formula unit
# Calculated volume   229.41 Å³/cell
# Density of states at the Fermi level   9.08 states/eV/cell
data_Rb2GaHgOs
_cell_length_a 6.645
_cell_length_b 6.645
_cell_length_c 5.195
_cell_angle_alpha 90.00
_cell_angle_beta 90.00
_cell_angle_gamma 90.00
_symmetry_space_group_name_H-M 'P 4/m m m'
_symmetry_Int_Tables_number 123
_symmetry_space_group_name_Hall '-P 4 2'
loop_
_atom_site_label
_atom_site_fract_x
_atom_site_fract_y
_atom_site_fract_z
_atom_site_occupancy
Rb1 0.000 0.500 0.000 1
Ga1 0.000 0.000 0.500 1
Hg1 0.000 0.000 0.000 1
Os1 0.500 0.500 0.500 1

=====

# 2
# PBE-GGA RbGa2HgOs, optimized geometry
# Formation energy from the elements   -0.33 eV per formula unit
# Calculated volume   130.47 Å³/cell
# Density of states at the Fermi level   2.29 states/eV/cell
data_RbGa2HgOs
_cell_length_a 4.892
_cell_length_b 4.892
_cell_length_c 5.451
_cell_angle_alpha 90.00
_cell_angle_beta 90.00
_cell_angle_gamma 90.00
_symmetry_space_group_name_H-M 'P 4/m m m'
_symmetry_Int_Tables_number 123
_symmetry_space_group_name_Hall '-P 4 2'
loop_
_atom_site_label
_atom_site_fract_x
_atom_site_fract_y
_atom_site_fract_z
_atom_site_occupancy
Rb1 0.000 0.000 0.000 1
Ga1 0.000 0.500 0.500 1
Hg1 0.500 0.500 0.000 1
Os1 0.500 0.500 0.500 1